No. 1
# HgPbBr4 | Alexandria via LeMat-Bulk | PBE | optimized geometry
data_HgPbBr4
_cell_length_a 6.794
_cell_length_b 4.274
_cell_length_c 7.525
_cell_angle_alpha 90.00
_cell_angle_beta 91.06
_cell_angle_gamma 90.00
_symmetry_space_group_name_H-M 'P 1 2/m 1'
_symmetry_Int_Tables_number 10
_symmetry_space_group_name_Hall '-P 2y'
loop_
_atom_site_label
_atom_site_type_symbol
_atom_site_fract_x
_atom_site_fract_y
_atom_site_fract_z
_atom_site_occupancy
Hg1 Hg 0.000 0.000 0.000 1
Pb1 Pb 0.000 0.500 0.500 1
Br1 Br 0.233 0.500 0.853 1
Br2 Br 0.247 0.000 0.317 1
# E_form (uncorrected)	-648.8	meV per atom
# ΔE to the lowest computed polymorph	3	meV per atom
# magnetization	0.00	μB per cell
# DOS at the Fermi energy	0.00	states/eV/atom



No. 2
# NaErPt2 | Alexandria via LeMat-Bulk | PBE | optimized geometry
data_NaErPt2
_cell_length_a 4.418
_cell_length_b 4.418
_cell_length_c 3.852
_cell_angle_alpha 90.00
_cell_angle_beta 90.00
_cell_angle_gamma 90.00
_symmetry_space_group_name_H-M 'P 4/m m m'
_symmetry_Int_Tables_number 123
_symmetry_space_group_name_Hall '-P 4 2'
loop_
_atom_site_label
_atom_site_type_symbol
_atom_site_fract_x
_atom_site_fract_y
_atom_site_fract_z
_atom_site_occupancy
Na1 Na 0.000 0.000 0.000 1
Er1 Er 0.500 0.500 0.000 1
Pt1 Pt 0.000 0.500 0.500 1
# DFT formation energy	-0.721	eV per atom
# magnetization	0.00	μB per cell
# DOS at the Fermi energy	0.26	states/eV/atom